Material: Sm6Ni2Ag
Method: DFT, PBE
State: relaxed

The structure in CIF format:
```
data_Sm6Ni2Ag
_chemical_formula_sum 'Sm24 Ni8 Ag4'
_space_group_name_H-M_alt 'I m m m'
_space_group_IT_number 71
_space_group_name_Hall '-I 2 2'
_cell_length_a 9.414
_cell_length_b 9.907
_cell_length_c 10.190
_cell_angle_alpha 90.00
_cell_angle_beta 90.00
_cell_angle_gamma 90.00
loop_
_atom_site_label
_atom_site_type_symbol
_atom_site_fract_x
_atom_site_fract_y
_atom_site_fract_z
Sm1 Sm 0.000 0.197 0.229
Sm2 Sm 0.193 0.500 0.175
Sm3 Sm 0.209 0.320 0.500
Ni1 Ni 0.000 0.355 0.000
Ni2 Ni 0.000 0.500 0.377
Ag1 Ag 0.000 0.000 0.000
Ag2 Ag 0.000 0.000 0.500
```


Material: Sm4Ni2Ag5
Method: DFT, PBE
State: relaxed

The structure in CIF format:
```
data_Sm4Ni2Ag5
_chemical_formula_sum 'Sm4 Ni2 Ag5'
_space_group_name_H-M_alt 'P 1 2/m 1'
_space_group_IT_number 10
_cell_length_a 7.397
_cell_length_b 3.773
_cell_length_c 8.941
_cell_angle_alpha 90.00
_cell_angle_beta 95.34
_cell_angle_gamma 90.00
loop_
_space_group_symop_operation_xyz
'x,y,z'
'-x,-y,-z'
'-x,y,-z'
'x,-y,z'
loop_
_atom_site_label
_atom_site_type_symbol
_atom_site_fract_x
_atom_site_fract_y
_atom_site_fract_z
Sm1 Sm 0.189 0.000 0.351
Sm2 Sm 0.229 0.000 0.931
Ni1 Ni 0.069 0.500 0.133
Ag1 Ag 0.163 0.500 0.641
Ag2 Ag 0.451 0.500 0.173
Ag3 Ag 0.500 0.500 0.500
```


# Sm8NiAg2 PBE relaxed
data_Sm8NiAg2
_chemical_formula_sum 'Sm16 Ni2 Ag4'
_space_group_name_H-M_alt 'C 1 m 1'
_space_group_IT_number 8
_cell_length_a 7.520
_cell_length_b 16.329
_cell_length_c 6.180
_cell_angle_alpha 90.00
_cell_angle_beta 121.76
_cell_angle_gamma 90.00
loop_
_space_group_symop_operation_xyz
'x,y,z'
'x,-y,z'
'x+1/2,y+1/2,z'
'x+1/2,-y+1/2,z'
loop_
_atom_site_label
_atom_site_type_symbol
_atom_site_fract_x
_atom_site_fract_y
_atom_site_fract_z
Sm1 Sm 0.000 0.000 0.000
Sm2 Sm 0.029 0.387 0.879
Sm3 Sm 0.037 0.500 0.379
Sm4 Sm 0.263 0.197 0.210
Sm5 Sm 0.484 0.386 0.514
Ni1 Ni 0.259 0.000 0.516
Ag1 Ag 0.263 0.279 0.711
# relative energy among the computed polymorphs	1.7	kJ per mole of atoms


# Sm4NiAg PBE relaxed
data_Sm4NiAg
_chemical_formula_sum 'Sm64 Ni16 Ag16'
_space_group_name_H-M_alt 'F -4 3 m'
_space_group_IT_number 216
_space_group_name_Hall 'F -4 2 3'
_cell_length_a 13.648
_cell_length_b 13.648
_cell_length_c 13.648
_cell_angle_alpha 90.00
_cell_angle_beta 90.00
_cell_angle_gamma 90.00
loop_
_atom_site_label
_atom_site_type_symbol
_atom_site_fract_x
_atom_site_fract_y
_atom_site_fract_z
Sm1 Sm 0.000 0.000 0.186
Sm2 Sm 0.060 0.250 0.750
Sm3 Sm 0.100 0.100 0.400
Ni1 Ni 0.107 0.107 0.607
Ag1 Ag 0.169 0.169 0.169
# relative energy among the computed polymorphs	0.0	kJ per mole of atoms


# Sm8NiAg2 PBE relaxed
data_Sm8NiAg2
_chemical_formula_sum 'Sm16 Ni2 Ag4'
_space_group_name_H-M_alt 'C 1 2/m 1'
_space_group_IT_number 12
_cell_length_a 17.792
_cell_length_b 5.246
_cell_length_c 6.908
_cell_angle_alpha 90.00
_cell_angle_beta 103.58
_cell_angle_gamma 90.00
loop_
_space_group_symop_operation_xyz
'x,y,z'
'-x,-y,-z'
'-x,y,-z'
'x,-y,z'
'x+1/2,y+1/2,z'
'-x+1/2,-y+1/2,-z'
'-x+1/2,y+1/2,-z'
'x+1/2,-y+1/2,z'
loop_
_atom_site_label
_atom_site_type_symbol
_atom_site_fract_x
_atom_site_fract_y
_atom_site_fract_z
Sm1 Sm 0.025 0.000 0.282
Sm2 Sm 0.088 0.500 0.941
Sm3 Sm 0.156 0.500 0.470
Sm4 Sm 0.201 0.000 0.818
Ni1 Ni 0.000 0.500 0.500
Ag1 Ag 0.189 0.000 0.238
# relative energy among the computed polymorphs	0.0	kJ per mole of atoms


Material: Sm4NiAg3
Method: DFT, PBE
State: relaxed

The structure in CIF format:
```
data_Sm4NiAg3
_chemical_formula_sum 'Sm4 Ni1 Ag3'
_space_group_name_H-M_alt 'P 4/m m m'
_space_group_IT_number 123
_space_group_name_Hall '-P 4 2'
_cell_length_a 3.628
_cell_length_b 3.628
_cell_length_c 14.809
_cell_angle_alpha 90.00
_cell_angle_beta 90.00
_cell_angle_gamma 90.00
loop_
_atom_site_label
_atom_site_type_symbol
_atom_site_fract_x
_atom_site_fract_y
_atom_site_fract_z
Sm1 Sm 0.000 0.000 0.111
Sm2 Sm 0.000 0.000 0.371
Ni1 Ni 0.500 0.500 0.000
Ag1 Ag 0.500 0.500 0.243
Ag2 Ag 0.500 0.500 0.500
```


Material: Sm2Ni2Ag
Method: DFT, PBE
State: relaxed

The structure in CIF format:
```
data_Sm2Ni2Ag
_chemical_formula_sum 'Sm4 Ni4 Ag2'
_space_group_name_H-M_alt 'C m m m'
_space_group_IT_number 65
_space_group_name_Hall '-C 2 2'
_cell_length_a 3.968
_cell_length_b 14.029
_cell_length_c 3.738
_cell_angle_alpha 90.00
_cell_angle_beta 90.00
_cell_angle_gamma 90.00
loop_
_atom_site_label
_atom_site_type_symbol
_atom_site_fract_x
_atom_site_fract_y
_atom_site_fract_z
Sm1 Sm 0.000 0.135 0.000
Ni1 Ni 0.000 0.300 0.500
Ag1 Ag 0.000 0.500 0.500
```


Material: Sm5NiAg4
Method: DFT, PBE
State: relaxed

The structure in CIF format:
```
data_Sm5NiAg4
_chemical_formula_sum 'Sm5 Ni1 Ag4'
_space_group_name_H-M_alt 'P 4/m m m'
_space_group_IT_number 123
_space_group_name_Hall '-P 4 2'
_cell_length_a 3.627
_cell_length_b 3.627
_cell_length_c 18.719
_cell_angle_alpha 90.00
_cell_angle_beta 90.00
_cell_angle_gamma 90.00
loop_
_atom_site_label
_atom_site_type_symbol
_atom_site_fract_x
_atom_site_fract_y
_atom_site_fract_z
Sm1 Sm 0.000 0.000 0.000
Sm2 Sm 0.000 0.000 0.206
Sm3 Sm 0.000 0.000 0.412
Ni1 Ni 0.500 0.500 0.500
Ag1 Ag 0.500 0.500 0.103
Ag2 Ag 0.500 0.500 0.307
```


Number 1: formation enthalpy at 0 K -2.1 eV per formula unit, magnetic moment 0.000 μB/atom. Number 2: formation enthalpy at 0 K -3.1 eV per formula unit, magnetic moment 0.000 μB/atom. Number 3: formation enthalpy at 0 K -1.0 eV per formula unit, magnetic moment 0.000 μB/atom. Number 4: formation enthalpy at 0 K -1.4 eV per formula unit, magnetic moment 0.000 μB/atom. Number 5: formation enthalpy at 0 K -1.2 eV per formula unit, magnetic moment 0.000 μB/atom. Number 6: formation enthalpy at 0 K -2.2 eV per formula unit, magnetic moment 0.000 μB/atom. Number 7: formation enthalpy at 0 K -1.8 eV per formula unit, magnetic moment 0.000 μB/atom. Number 8: formation enthalpy at 0 K -2.7 eV per formula unit, magnetic moment 0.000 μB/atom.